# AcAlHgO4 PBE optimized geometry
data_AcAlHgO4
_chemical_formula_sum 'Ac2 Al2 Hg2 O8'
_space_group_name_H-M_alt 'P 1 21/m 1'
_space_group_IT_number 11
_space_group_name_Hall '-P 2yb'
_cell_length_a 5.786
_cell_length_b 5.887
_cell_length_c 6.802
_cell_angle_alpha 90.00
_cell_angle_beta 109.77
_cell_angle_gamma 90.00
loop_
_atom_site_label
_atom_site_type_symbol
_atom_site_fract_x
_atom_site_fract_y
_atom_site_fract_z
Ac1 Ac 0.223 0.250 0.439
Al1 Al 0.228 0.750 0.169
Hg1 Hg 0.321 0.250 0.974
O1 O 0.037 0.750 0.332
O2 O 0.063 0.750 0.904
O3 O 0.443 0.518 0.255
# Formation energy (no corrections) ... -2253 meV/atom
# Electronic total energy ... -87.5 eV per cell
# Crystal system ... monoclinic